Entry from the Alexandria database: a relaxed MgPaIrAu crystal (GGA-PBE).

Calculated values
The value obtained for the density is 13.393 Mg/m³. The energy of formation from the pure elements comes out at -0.499 eV/atom. The space group is F-43m.

Cell: 4.8348 4.8348 4.8348 Å, 60.00 60.00 60.00°
Fractional coordinates of all 4 atoms:
1 Mg 0.7500 0.7500 0.7500
2 Ir 0.5000 0.5000 0.5000
3 Au 0.0000 0.0000 0.0000
4 Pa 0.2500 0.2500 0.2500